A geometry-optimized Li14AlPd structure, computed with PBE-GGA.

Calculated values
- N(E_F): 4.0 states/eV/f.u.

Cell lengths 5.901, 5.901, 9.639 Å; angles 90.00, 90.00, 123.52 degrees
Atoms (fractional coordinates):
Li1 0.714 0.780 0.000
Li2 0.869 0.623 0.733
Li3 0.869 0.623 0.267
Li4 0.377 0.131 0.733
Li5 0.530 0.974 0.500
Li6 0.220 0.286 0.000
Li7 0.385 0.615 0.268
Li8 0.715 0.285 0.000
Li9 0.880 0.120 0.749
Li10 0.377 0.131 0.267
Li11 0.026 0.470 0.500
Li12 0.218 0.782 0.000
Li13 0.385 0.615 0.732
Li14 0.880 0.120 0.251
Pd1 0.528 0.472 0.500
Al1 0.028 0.972 0.500


A geometry-optimized Li4AlPd3 structure, computed with PBE-GGA.

Calculated values
- N(E_F): 2.7 states/eV/f.u.

Cell lengths 2.941, 4.387, 9.124 Å; angles 75.88, 99.27, 90.00 degrees
Atoms (fractional coordinates):
Li1 0.380 0.623 0.760
Li2 0.620 0.377 0.240
Li3 0.247 0.253 0.494
Li4 0.753 0.747 0.506
Al1 0.500 0.000 0.000
Pd1 0.875 0.127 0.750
Pd2 0.000 0.500 0.000
Pd3 0.125 0.873 0.250


A geometry-optimized LiAlPd6 structure, computed with PBE-GGA.

Calculated values
- Energy relative to the lowest polymorph listed for this composition: 0.0 kJ per mole of atoms
- N(E_F): 7.6 states/eV/f.u.

Cell lengths 3.892, 5.520, 5.520 Å; angles 89.96, 90.00, 90.00 degrees
Atoms (fractional coordinates):
Pd1 0.000 0.246 0.754
Pd2 0.000 0.754 0.754
Pd3 0.000 0.754 0.246
Pd4 0.500 0.000 0.500
Pd5 0.000 0.246 0.246
Pd6 0.500 0.500 0.000
Li1 0.500 0.500 0.500
Al1 0.500 0.000 0.000


A geometry-optimized Li4AlPd7 structure, computed with PBE-GGA.

Calculated values
- N(E_F): 4.7 states/eV/f.u.

Cell lengths 4.692, 6.834, 6.611 Å; angles 67.83, 69.22, 69.92 degrees
Atoms (fractional coordinates):
Pd1 0.500 0.000 0.000
Pd2 0.237 0.740 0.787
Pd3 0.215 0.130 0.441
Pd4 0.065 0.600 0.269
Pd5 0.935 0.400 0.731
Pd6 0.763 0.260 0.213
Pd7 0.785 0.870 0.559
Li1 0.556 0.282 0.607
Li2 0.444 0.718 0.393
Li3 0.689 0.634 0.988
Li4 0.311 0.366 0.012
Al1 0.000 0.000 0.000


| no. | ΔE_f (kcal/mol of atoms) |
| --- | --- |
| 1 | -2.15 |
| 2 | -12.37 |
| 3 | -9.98 |
| 4 | -7.37 |